Entry 1:
Computed, not measured: crystalline Ho4AlZn2Cd at its relaxed geometry at the PBE level of DFT.

a b c (Å): 5.1051 5.1051 25.0454
angles (deg): 90.00 90.00 120.00
Closest atoms and distances in Å follow each position.
Space group R-3m (No. 166, hexagonal axes)
One atom of each set of equivalent atoms:
Ho1 0.0000 0.0000 0.1227 x6  1 Al 3.07, 4 Zn 3.10-3.17, 3 Cd 3.15
Ho2 0.0000 0.0000 0.3727 x6  4 Zn 3.09-3.15, 3 Al 3.11, 1 Cd 3.19
Al1 0.0000 0.0000 0.0000 x3  8 Ho 3.07-3.11
Zn1 0.0000 0.0000 0.2492 x6  8 Ho 3.09-3.17
Cd1 0.0000 0.0000 0.5000 x3  8 Ho 3.15-3.19

- calculated density (g/cm3) = 8.20
- energy relative to the elements (eV per atom) = -0.34

=====

Entry 2:
Computed, not measured: crystalline SrY2Cr at its relaxed geometry at the PBE level of DFT.

a b c (Å): 10.9332 10.9332 10.9332
angles (deg): 90.00 90.00 90.00
Closest atoms and distances in Å follow each position.
Space group Fd-3m (No. 227, origin choice 2)
One atom of each set of equivalent atoms:
Sr1 0.1250 0.1250 0.1250 x8  12 Y 4.53, 4 Cr 4.73, 4 Sr 4.73
Y1 0.0000 0.0000 0.5000 x16  2 Cr 2.37
Cr1 0.1250 0.1250 0.6250 x8  4 Y 2.37

- calculated density (g/cm3) = 3.23
- energy relative to the elements (eV per atom) = 0.91
- energy above the lowest structure with this stoichiometry (eV/atom) = 0.639

=====

Entry 3:
Computed, not measured: crystalline PmPu6Ru4 at its relaxed geometry at the PBE level of DFT.

a b c (Å): 6.9307 6.9307 10.7294
angles (deg): 90.00 90.00 90.00
Closest atoms and distances in Å follow each position.
Space group I-42m (No. 121)
One atom of each set of equivalent atoms:
Pm1 0.0000 0.0000 0.0000 x2  12 Pu 3.47-3.76, 4 Ru 3.54
Pu1 0.0000 0.5000 0.0000 x4  4 Ru 2.80
Pu2 0.2005 0.2005 0.7192 x8  1 Ru 2.53
Ru1 0.1514 0.1514 0.4127 x8  3 Pu 2.53-2.80, 2 Ru 2.81

- calculated density (g/cm3) = 12.97
- energy relative to the elements (eV per atom) = 0.04

=====

Entry 4:
Computed, not measured: crystalline CeMg3Pt2 at its relaxed geometry at the PBE level of DFT.

a b c (Å): 4.1288 8.4550 7.0851
angles (deg): 90.00 90.00 90.00
Closest atoms and distances in Å follow each position.
Space group Pmc2_1 (No. 26)
One atom of each set of equivalent atoms:
Ce1 0.0000 0.0848 0.0000 x2  5 Pt 2.92-3.05
Mg1 0.0000 0.3229 0.6063 x2  4 Pt 2.65-2.82
Mg2 0.5000 0.2055 0.3340 x2  4 Pt 2.65-2.83
Mg3 0.5000 0.4253 0.9315 x2  5 Pt 2.95-3.07, 5 Mg 3.20-3.21
Pt1 0.0000 0.3792 0.2241 x2  6 Mg 2.65-2.95, 1 Ce 2.95
Pt2 0.5000 0.1125 0.7111 x2  5 Mg 2.78-3.07, 4 Ce 2.92-3.05

- calculated density (g/cm3) = 8.10
- energy relative to the elements (eV per atom) = -0.78

=====

Entry 5:
Computed, not measured: crystalline CsGa2AgPt at its relaxed geometry at the PBE level of DFT.

a b c (Å): 4.8794 4.8794 5.6038
angles (deg): 90.00 90.00 90.00
Closest atoms and distances in Å follow each position.
Space group P4/mmm (No. 123)
One atom of each set of equivalent atoms:
Cs1 0.0000 0.0000 0.0000 x1  4 Ag 3.45, 8 Ga 3.72
Ga1 0.0000 0.5000 0.5000 x2  2 Pt 2.44
Ag1 0.5000 0.5000 0.0000 x1  2 Pt 2.80
Pt1 0.5000 0.5000 0.5000 x1  4 Ga 2.44

- calculated density (g/cm3) = 7.16
- energy relative to the elements (eV per atom) = -0.24

=====

Entry 6:
Computed, not measured: crystalline Cd3Au at its relaxed geometry at the PBE level of DFT.

a b c (Å): 3.6380 3.9723 5.8702
angles (deg): 90.00 90.93 90.00
Closest atoms and distances in Å follow each position.
Space group P2/m (No. 10)
One atom of each set of equivalent atoms:
Cd1 0.0000 0.0000 0.0000 x1  2 Au 2.94, 8 Cd 3.08-3.09
Cd2 0.4954 0.5000 0.7441 x2  6 Cd 2.87-3.09, 4 Au 3.03-3.07
Au1 0.0000 0.0000 0.5000 x1  10 Cd 2.94-3.07

- calculated density (g/cm3) = 10.46
- energy relative to the elements (eV per atom) = -0.09

=====

Entry 7:
Computed, not measured: crystalline MgBi2PI at its relaxed geometry at the PBE level of DFT.

a b c (Å): 5.9412 5.9412 5.3791
angles (deg): 90.00 90.00 90.00
Closest atoms and distances in Å follow each position.
Space group P4/mmm (No. 123)
One atom of each set of equivalent atoms:
Mg1 0.0000 0.0000 0.0000 x1  2 I 2.69
Bi1 0.0000 0.5000 0.5000 x2  2 I 2.97
P1 0.5000 0.5000 0.0000 x1  8 Bi 4.01, 4 Mg 4.20
I1 0.0000 0.0000 0.5000 x1  2 Mg 2.69, 4 Bi 2.97

- calculated density (g/cm3) = 5.25
- energy above the lowest structure with this stoichiometry (eV/atom) = 0.933

=====

Entry 8:
Computed, not measured: crystalline Li2Ge2Pt at its relaxed geometry at the PBE level of DFT.

a b c (Å): 6.3970 6.3970 4.0703
angles (deg): 90.00 90.00 90.00
Closest atoms and distances in Å follow each position.
Space group P4/mbm (No. 127)
One atom of each set of equivalent atoms:
Li1 0.1721 0.3279 0.0000 x4  6 Ge 2.68-2.84
Ge1 0.1352 0.6352 0.5000 x4  1 Ge 2.45, 2 Pt 2.49, 2 Li 2.68
Pt1 0.0000 0.0000 0.5000 x2  4 Ge 2.49

- calculated density (g/cm3) = 7.06
- energy relative to the elements (eV per atom) = -0.50

=====

Entry 9:
Computed, not measured: crystalline Sb3RuO at its relaxed geometry at the PBE level of DFT.

a b c (Å): 4.6323 4.6323 4.6323
angles (deg): 90.00 90.00 90.00
Closest atoms and distances in Å follow each position.
Space group Pm-3m (No. 221)
One atom of each set of equivalent atoms:
Sb1 0.0000 0.0000 0.5000 x3  2 O 2.32
Ru1 0.5000 0.5000 0.5000 x1  12 Sb 3.28
O1 0.0000 0.0000 0.0000 x1  6 Sb 2.32

- calculated density (g/cm3) = 8.06
- energy above the lowest structure with this stoichiometry (eV/atom) = 0.000

=====

Entry 10:
Computed, not measured: crystalline Y3CuRh2 at its relaxed geometry at the PBE level of DFT.

a b c (Å): 4.8887 4.8887 11.9772
angles (deg): 90.00 90.00 120.00
Closest atoms and distances in Å follow each position.
Space group P-3m1 (No. 164)
One atom of each set of equivalent atoms:
Y1 0.0000 0.0000 0.2472 x2  5 Rh 2.96-3.03, 3 Cu 3.00
Y2 0.3333 0.6667 0.4164 x2  4 Rh 2.98-2.99, 4 Cu 3.00-3.01
Y3 0.3333 0.6667 0.9187 x2  7 Rh 2.98-3.01, 1 Cu 3.00
Cu1 0.3333 0.6667 0.6681 x2  8 Y 3.00-3.01
Rh1 0.0000 0.0000 0.0000 x1  8 Y 2.96-2.99
Rh2 0.0000 0.0000 0.5000 x1  8 Y 2.99-3.03
Rh3 0.3333 0.6667 0.1677 x2  8 Y 2.98-3.01

- calculated density (g/cm3) = 7.18
- energy relative to the elements (eV per atom) = -0.65

=====

Entry 11:
Computed, not measured: crystalline Mg2CrIn3S8 at its relaxed geometry at the PBE level of DFT.

a b c (Å): 7.5908 7.5908 18.4898
angles (deg): 90.00 90.00 120.00
Closest atoms and distances in Å follow each position.
Space group R-3m (No. 166, hexagonal axes)
One atom of each set of equivalent atoms:
Mg1 0.0000 0.0000 0.1253 x6  4 S 2.44-2.50
Cr1 0.0000 0.0000 0.5000 x3  6 S 2.47
In1 0.0000 0.5000 0.0000 x9  6 S 2.60-2.65
S1 0.0000 0.0000 0.2573 x6  1 Mg 2.44, 3 In 2.60
S2 0.0312 0.5156 0.2458 x18  1 Cr 2.47, 1 Mg 2.50, 2 In 2.65

- calculated density (g/cm3) = 3.79
- raw total energy (eV/atom) = -4.680

=====

Entry 12:
Computed, not measured: crystalline ZnPAu3 at its relaxed geometry at the PBE level of DFT.

a b c (Å): 4.7749 4.7749 4.7749
angles (deg): 90.00 90.00 90.00
Closest atoms and distances in Å follow each position.
Space group Pm-3m (No. 221)
One atom of each set of equivalent atoms:
Zn1 0.0000 0.0000 0.0000 x1  12 Au 3.38
P1 0.5000 0.5000 0.5000 x1  6 Au 2.39
Au1 0.0000 0.5000 0.5000 x3  2 P 2.39

- calculated density (g/cm3) = 10.48
- energy relative to the elements (eV per atom) = 0.29
- energy above the lowest structure with this stoichiometry (eV/atom) = 0.000

=====

Entry 13:
Computed, not measured: crystalline TaNbN at its relaxed geometry at the PBE level of DFT.

a b c (Å): 3.1400 3.1400 4.8515
angles (deg): 90.00 90.00 120.00
Closest atoms and distances in Å follow each position.
Space group P3m1 (No. 156)
One atom of each set of equivalent atoms:
Ta1 0.0000 0.0000 0.0000 x1  3 N 2.16
Nb1 0.3333 0.6667 0.5004 x1  3 N 2.20
N1 0.6667 0.3333 0.7566 x1  3 Ta 2.16, 3 Nb 2.20

- calculated density (g/cm3) = 11.54
- energy above the lowest structure with this stoichiometry (eV/atom) = 0.004

=====

Entry 14:
Computed, not measured: crystalline Dy2Cd4Pb3 at its relaxed geometry at the PBE level of DFT.

a b c (Å): 11.1409 4.5956 9.9517
angles (deg): 90.00 111.66 90.00
Closest atoms and distances in Å follow each position.
Space group C2/m (No. 12)
One atom of each set of equivalent atoms:
Dy1 0.1551 0.0000 0.2171 x4  5 Pb 3.19-3.37, 7 Cd 3.30-3.43
Cd1 0.0154 0.5000 0.6765 x4  3 Cd 3.21-3.40, 5 Pb 3.29-3.36, 3 Dy 3.39-3.42
Cd2 0.1753 0.0000 0.8941 x4  4 Cd 3.15-3.21, 4 Pb 3.29-3.42, 4 Dy 3.30-3.43
Pb1 0.0000 0.5000 0.0000 x2  4 Dy 3.19, 8 Cd 3.29-3.42
Pb2 0.1637 0.0000 0.5592 x4  6 Cd 3.29-3.65, 3 Dy 3.32-3.37, 3 Pb 3.39-3.47

- calculated density (g/cm3) = 9.79
- energy relative to the elements (eV per atom) = -0.20

=====

Entry 15:
Computed, not measured: crystalline Mg2RuPt at its relaxed geometry at the PBE level of DFT.

a b c (Å): 6.3642 6.3642 6.3642
angles (deg): 90.00 90.00 90.00
Closest atoms and distances in Å follow each position.
Space group F-43m (No. 216)
One atom of each set of equivalent atoms:
Mg1 0.0000 0.0000 0.0000 x4  4 Mg 2.76, 4 Pt 2.76
Mg2 0.2500 0.2500 0.2500 x4  4 Ru 2.76, 4 Mg 2.76
Ru1 0.0000 0.0000 0.5000 x4  4 Pt 2.76, 4 Mg 2.76
Pt1 0.2500 0.2500 0.7500 x4  4 Ru 2.76, 4 Mg 2.76

- calculated density (g/cm3) = 8.88
- energy relative to the elements (eV per atom) = -0.16

=====

Entry 16:
Computed, not measured: crystalline NaSrLi2Pt at its relaxed geometry at the PBE level of DFT.

a b c (Å): 5.1297 5.1297 5.7300
angles (deg): 90.00 90.00 90.00
Closest atoms and distances in Å follow each position.
Space group P4/mmm (No. 123)
One atom of each set of equivalent atoms:
Na1 0.0000 0.0000 0.0000 x1  4 Sr 3.63, 8 Li 3.85
Sr1 0.5000 0.5000 0.0000 x1  2 Pt 2.87
Li1 0.0000 0.5000 0.5000 x2  2 Pt 2.56
Pt1 0.5000 0.5000 0.5000 x1  4 Li 2.56, 2 Sr 2.87

- calculated density (g/cm3) = 3.52
- energy relative to the elements (eV per atom) = -0.19

=====

Entry 17:
Computed, not measured: crystalline Mg3ZrNi at its relaxed geometry at the PBE level of DFT.

a b c (Å): 4.6923 4.6923 4.6923
angles (deg): 90.00 90.00 90.00
Closest atoms and distances in Å follow each position.
Space group Pm-3m (No. 221)
One atom of each set of equivalent atoms:
Mg1 0.0000 0.0000 0.5000 x3  2 Ni 2.35
Zr1 0.5000 0.5000 0.5000 x1  12 Mg 3.32
Ni1 0.0000 0.0000 0.0000 x1  6 Mg 2.35

- calculated density (g/cm3) = 3.58
- energy relative to the elements (eV per atom) = 0.25
- energy above the lowest structure with this stoichiometry (eV/atom) = 0.000

=====

Entry 18:
Computed, not measured: crystalline Y2MgF at its relaxed geometry at the PBE level of DFT.

a b c (Å): 7.3613 7.3613 7.3613
angles (deg): 90.00 90.00 90.00
Closest atoms and distances in Å follow each position.
Space group Fm-3m (No. 225)
One atom of each set of equivalent atoms:
Y1 0.2500 0.2500 0.2500 x8  4 F 3.19, 4 Mg 3.19
Mg1 0.0000 0.0000 0.0000 x4  8 Y 3.19
F1 0.0000 0.0000 0.5000 x4  8 Y 3.19

- calculated density (g/cm3) = 3.68
- energy above the lowest structure with this stoichiometry (eV/atom) = 0.561

=====

Entry 19:
Computed, not measured: crystalline Ta2WSe6 at its relaxed geometry at the PBE level of DFT.

a b c (Å): 6.4022 6.2815 11.1990
angles (deg): 90.00 122.16 90.00
Closest atoms and distances in Å follow each position.
Space group P2_1/c (No. 14)
One atom of each set of equivalent atoms:
Ta1 0.1709 0.1666 0.2527 x4  5 Se 2.51-2.70
W1 0.0000 0.0000 0.5000 x2  6 Se 2.53-2.61
Se1 0.1131 0.1419 0.9300 x4  2 Ta 2.51-2.70, 1 W 2.61
Se2 0.2668 0.6726 0.9165 x4  1 W 2.58, 2 Ta 2.61-2.66
Se3 0.4064 0.0224 0.7335 x4  1 W 2.53, 1 Ta 2.55

- calculated density (g/cm3) = 8.88
- energy above the lowest structure with this stoichiometry (eV/atom) = 0.332

=====

Entry 20:
Computed, not measured: crystalline MgSiSe at its relaxed geometry at the PBE level of DFT.

a b c (Å): 3.5463 3.5463 11.2093
angles (deg): 90.00 90.00 90.00
Closest atoms and distances in Å follow each position.
Space group I4mm (No. 107)
One atom of each set of equivalent atoms:
Mg1 0.0000 0.0000 0.0000 x2  4 Se 2.72, 4 Si 2.89
Si1 0.0000 0.0000 0.6280 x2  1 Se 2.48
Se1 0.0000 0.0000 0.4068 x2  1 Si 2.48, 4 Mg 2.72

- calculated density (g/cm3) = 3.09
- energy above the lowest structure with this stoichiometry (eV/atom) = 0.545

=====

What did we get for total moment? Answer: 0.00; 0.00; 10.21; 0.54; 0.00; 0.00; 0.00; 0.00; 0.00; 0.00; 3.00; 0.00; 0.00; 0.00; 1.15; 0.00; 0.00; 0.00; 0.00; 0.00 μB/f.u., in the order shown.